--- a ---
Crystalline NiHgPdPb at its relaxed geometry. Source: OQMD, functional PBE.

```
4
Lattice="3.532 -2.691 -1.529 0.879 -4.121 2.072 -0.914 -4.010 -2.266" Properties=species:S:1:pos:R:3 pbc="T T T"
Ni 2.622 -8.117 -1.293
Pd 0.874 -2.706 -0.431
Hg 1.748 -5.411 -0.862
Pb 0.000 0.000 0.000
```

Its symmetry is No. 216.

=====

--- b ---
Crystalline NiHgPdPb at its relaxed geometry. Source: OQMD, functional PBE.

```
4
Lattice="0.000 3.370 3.370 3.370 0.000 3.370 3.370 3.370 0.000" Properties=species:S:1:pos:R:3 pbc="T T T"
Pd 3.370 3.370 3.370
Ni 5.055 5.055 5.055
Pb 0.000 0.000 0.000
Hg 1.685 1.685 1.685
```

Its symmetry is No. 216.

=====

Going by the energies, a is most stable and the next is 0.165 eV/atom up.

=====

--- a ---
Crystalline ScNiHgPb at its relaxed geometry. Source: OQMD, functional PBE.

```
4
Lattice="-2.034 -4.369 -0.628 -0.013 -3.220 3.639 -4.159 -1.092 2.263" Properties=species:S:1:pos:R:3 pbc="T T T"
Ni -4.654 -6.511 3.955
Sc -3.103 -4.340 2.637
Pb 0.000 0.000 0.000
Hg -1.551 -2.170 1.318
```

Its symmetry is No. 216.

=====

--- b ---
Crystalline ScNiHgPb at its relaxed geometry. Source: OQMD, functional PBE.

```
4
Lattice="-1.796 -1.352 4.243 -4.719 0.327 0.823 -2.663 -3.983 0.321" Properties=species:S:1:pos:R:3 pbc="T T T"
Hg -4.589 -2.504 2.693
Pb 0.000 0.000 0.000
Ni -6.884 -3.756 4.040
Sc -2.295 -1.252 1.347
```

Its symmetry is No. 216.

=====

Going by the energies, b is most stable and the next is 0.036 eV/atom up.